# 1
# YZr2Ir | Alexandria | PBE-GGA | relaxed
data_YZr2Ir
_cell_length_a 4.143
_cell_length_b 4.143
_cell_length_c 5.023
_cell_angle_alpha 90.00
_cell_angle_beta 90.00
_cell_angle_gamma 90.00
_symmetry_space_group_name_H-M 'P 4/m m m'
_symmetry_Int_Tables_number 123
_symmetry_space_group_name_Hall '-P 4 2'
loop_
_atom_site_label
_atom_site_fract_x
_atom_site_fract_y
_atom_site_fract_z
Y1 0.000 0.000 0.000
Zr1 0.000 0.500 0.500
Ir1 0.500 0.500 0.000
# Energy of formation ... -0.1818 eV/atom
# DOS at the Fermi energy ... 1.33 states/eV/atom
# Total moment ... 0.00 μB/cell
# Crystal system ... tetragonal


# 2
# Y2Zr2Ir | Alexandria | PBE-GGA | relaxed
data_Y2Zr2Ir
_cell_length_a 3.917
_cell_length_b 3.917
_cell_length_c 16.274
_cell_angle_alpha 90.00
_cell_angle_beta 90.00
_cell_angle_gamma 90.00
_symmetry_space_group_name_H-M 'I 4/m m m'
_symmetry_Int_Tables_number 139
_symmetry_space_group_name_Hall '-I 4 2'
loop_
_atom_site_label
_atom_site_fract_x
_atom_site_fract_y
_atom_site_fract_z
Y1 0.000 0.500 0.250
Zr1 0.000 0.000 0.078
Ir1 0.000 0.000 0.500
# Energy of formation ... 0.6994 eV/atom
# DOS at the Fermi energy ... 1.46 states/eV/atom
# Total moment ... 0.00 μB/cell
# Crystal system ... tetragonal


# 3
# Y2Zr2Ir | Alexandria | PBE-GGA | relaxed
data_Y2Zr2Ir
_cell_length_a 3.753
_cell_length_b 3.753
_cell_length_c 18.644
_cell_angle_alpha 90.00
_cell_angle_beta 90.00
_cell_angle_gamma 90.00
_symmetry_space_group_name_H-M 'I 4/m m m'
_symmetry_Int_Tables_number 139
_symmetry_space_group_name_Hall '-I 4 2'
loop_
_atom_site_label
_atom_site_fract_x
_atom_site_fract_y
_atom_site_fract_z
Y1 0.000 0.000 0.083
Zr1 0.000 0.500 0.250
Ir1 0.000 0.000 0.500
# Energy of formation ... 0.1978 eV/atom
# DOS at the Fermi energy ... 0.68 states/eV/atom
# Total moment ... 0.00 μB/cell
# Crystal system ... tetragonal


# 4
# Y4ZrIr | Alexandria | PBE-GGA | relaxed
data_Y4ZrIr
_cell_length_a 8.561
_cell_length_b 8.561
_cell_length_c 8.561
_cell_angle_alpha 90.00
_cell_angle_beta 90.00
_cell_angle_gamma 90.00
_symmetry_space_group_name_H-M 'F -4 3 m'
_symmetry_Int_Tables_number 216
_symmetry_space_group_name_Hall 'F -4 2 3'
loop_
_atom_site_label
_atom_site_fract_x
_atom_site_fract_y
_atom_site_fract_z
Y1 0.125 0.125 0.125
Zr1 0.250 0.250 0.750
Ir1 0.000 0.000 0.500
# Energy of formation ... 0.6663 eV/atom
# DOS at the Fermi energy ... 1.61 states/eV/atom
# Total moment ... 0.00 μB/cell
# Crystal system ... cubic


# 5
# YZr2Ir | Alexandria | PBE-GGA | relaxed
data_YZr2Ir
_cell_length_a 3.278
_cell_length_b 4.620
_cell_length_c 5.953
_cell_angle_alpha 90.00
_cell_angle_beta 105.68
_cell_angle_gamma 90.00
_symmetry_space_group_name_H-M 'P 1 2/m 1'
_symmetry_Int_Tables_number 10
loop_
_symmetry_equiv_pos_as_xyz
'x,y,z'
'-x,-y,-z'
'-x,y,-z'
'x,-y,z'
loop_
_atom_site_label
_atom_site_fract_x
_atom_site_fract_y
_atom_site_fract_z
Y1 0.000 0.000 0.000
Zr1 0.300 0.500 0.720
Ir1 0.500 0.000 0.500
# Energy of formation ... -0.2401 eV/atom
# DOS at the Fermi energy ... 0.94 states/eV/atom
# Total moment ... 0.00 μB/cell
# Crystal system ... monoclinic


# 6
# YZr2Ir | Alexandria | PBE-GGA | relaxed
data_YZr2Ir
_cell_length_a 5.753
_cell_length_b 9.918
_cell_length_c 3.163
_cell_angle_alpha 90.00
_cell_angle_beta 111.39
_cell_angle_gamma 90.00
_symmetry_space_group_name_H-M 'C 1 2/m 1'
_symmetry_Int_Tables_number 12
loop_
_symmetry_equiv_pos_as_xyz
'x,y,z'
'-x,-y,-z'
'-x,y,-z'
'x,-y,z'
'x+1/2,y+1/2,z'
'-x+1/2,-y+1/2,-z'
'-x+1/2,y+1/2,-z'
'x+1/2,-y+1/2,z'
loop_
_atom_site_label
_atom_site_fract_x
_atom_site_fract_y
_atom_site_fract_z
Y1 0.000 0.000 0.000
Zr1 0.250 0.250 0.500
Ir1 0.000 0.500 0.000
# Energy of formation ... -0.1030 eV/atom
# DOS at the Fermi energy ... 1.30 states/eV/atom
# Total moment ... 0.00 μB/cell
# Crystal system ... monoclinic


# 7
# YZr2Ir2 | Alexandria | PBE-GGA | relaxed
data_YZr2Ir2
_cell_length_a 4.514
_cell_length_b 4.514
_cell_length_c 10.987
_cell_angle_alpha 90.00
_cell_angle_beta 90.00
_cell_angle_gamma 90.00
_symmetry_space_group_name_H-M 'I 4/m m m'
_symmetry_Int_Tables_number 139
_symmetry_space_group_name_Hall '-I 4 2'
loop_
_atom_site_label
_atom_site_fract_x
_atom_site_fract_y
_atom_site_fract_z
Y1 0.000 0.000 0.000
Zr1 0.000 0.500 0.250
Ir1 0.000 0.000 0.384
# Energy of formation ... -0.7442 eV/atom
# DOS at the Fermi energy ... 0.70 states/eV/atom
# Total moment ... 0.00 μB/cell
# Crystal system ... tetragonal


# 8
# Y2Zr3Ir2 | Alexandria | PBE-GGA | relaxed
data_Y2Zr3Ir2
_cell_length_a 11.686
_cell_length_b 3.690
_cell_length_c 8.332
_cell_angle_alpha 90.00
_cell_angle_beta 115.59
_cell_angle_gamma 90.00
_symmetry_space_group_name_H-M 'C 1 2/m 1'
_symmetry_Int_Tables_number 12
loop_
_symmetry_equiv_pos_as_xyz
'x,y,z'
'-x,-y,-z'
'-x,y,-z'
'x,-y,z'
'x+1/2,y+1/2,z'
'-x+1/2,-y+1/2,-z'
'-x+1/2,y+1/2,-z'
'x+1/2,-y+1/2,z'
loop_
_atom_site_label
_atom_site_fract_x
_atom_site_fract_y
_atom_site_fract_z
Y1 0.147 0.000 0.302
Zr1 0.000 0.500 0.500
Zr2 0.121 0.500 0.942
Ir1 0.159 0.000 0.736
# Energy of formation ... -0.5673 eV/atom
# DOS at the Fermi energy ... 1.10 states/eV/atom
# Total moment ... 0.00 μB/cell
# Crystal system ... monoclinic


# 9
# YZr2Ir | Alexandria | PBE-GGA | relaxed
data_YZr2Ir
_cell_length_a 4.065
_cell_length_b 4.065
_cell_length_c 10.436
_cell_angle_alpha 90.00
_cell_angle_beta 90.00
_cell_angle_gamma 90.00
_symmetry_space_group_name_H-M 'I 4/m m m'
_symmetry_Int_Tables_number 139
_symmetry_space_group_name_Hall '-I 4 2'
loop_
_atom_site_label
_atom_site_fract_x
_atom_site_fract_y
_atom_site_fract_z
Y1 0.000 0.000 0.000
Zr1 0.000 0.500 0.250
Ir1 0.000 0.000 0.500
# Energy of formation ... -0.2057 eV/atom
# DOS at the Fermi energy ... 0.89 states/eV/atom
# Total moment ... 0.00 μB/cell
# Crystal system ... tetragonal


# 10
# YZrIr2 | Alexandria | PBE-GGA | relaxed
data_YZrIr2
_cell_length_a 3.268
_cell_length_b 3.268
_cell_length_c 8.103
_cell_angle_alpha 90.00
_cell_angle_beta 90.00
_cell_angle_gamma 90.00
_symmetry_space_group_name_H-M 'P 4 m m'
_symmetry_Int_Tables_number 99
loop_
_symmetry_equiv_pos_as_xyz
'x,y,z'
'-y,x,z'
'-x,-y,z'
'y,-x,z'
'-x,y,z'
'y,x,z'
'x,-y,z'
'-y,-x,z'
loop_
_atom_site_label
_atom_site_fract_x
_atom_site_fract_y
_atom_site_fract_z
Y1 0.000 0.000 0.000
Zr1 0.500 0.500 0.398
Ir1 0.000 0.000 0.565
Ir2 0.500 0.500 0.794
# Energy of formation ... -0.1811 eV/atom
# DOS at the Fermi energy ... 0.82 states/eV/atom
# Total moment ... 0.00 μB/cell
# Crystal system ... tetragonal


# 11
# YZr4Ir | Alexandria | PBE-GGA | relaxed
data_YZr4Ir
_cell_length_a 8.124
_cell_length_b 8.124
_cell_length_c 8.124
_cell_angle_alpha 90.00
_cell_angle_beta 90.00
_cell_angle_gamma 90.00
_symmetry_space_group_name_H-M 'F -4 3 m'
_symmetry_Int_Tables_number 216
_symmetry_space_group_name_Hall 'F -4 2 3'
loop_
_atom_site_label
_atom_site_fract_x
_atom_site_fract_y
_atom_site_fract_z
Y1 0.000 0.000 0.000
Zr1 0.125 0.125 0.625
Ir1 0.250 0.250 0.250
# Energy of formation ... 0.2630 eV/atom
# DOS at the Fermi energy ... 1.31 states/eV/atom
# Total moment ... 0.00 μB/cell
# Crystal system ... cubic


# 12
# Y2Zr2Ir | Alexandria | PBE-GGA | relaxed
data_Y2Zr2Ir
_cell_length_a 6.885
_cell_length_b 6.885
_cell_length_c 5.279
_cell_angle_alpha 90.00
_cell_angle_beta 90.00
_cell_angle_gamma 90.00
_symmetry_space_group_name_H-M 'P 4/m b m'
_symmetry_Int_Tables_number 127
_symmetry_space_group_name_Hall '-P 4 2ab'
loop_
_atom_site_label
_atom_site_fract_x
_atom_site_fract_y
_atom_site_fract_z
Y1 0.168 0.332 0.000
Zr1 0.150 0.650 0.500
Ir1 0.000 0.000 0.500
# Energy of formation ... -0.2363 eV/atom
# DOS at the Fermi energy ... 0.92 states/eV/atom
# Total moment ... 0.00 μB/cell
# Crystal system ... tetragonal